Record 1
Li5GaHg8: optimized geometry, PBE.

a b c (Å): 7.2955 7.2955 7.2955
angles (deg): 111.81 104.89 111.81
Closest atoms and distances in Å follow each position.
Sites, in units of the cell vectors:
Hg: 0.7530 0.2562 0.3570  4 Li 2.80-2.99, 2 Hg 3.07
Hg: 0.9396 0.0740 0.6728  1 Ga 2.81, 5 Li 2.87-2.95, 1 Hg 3.07
Hg: 0.1008 0.7438 0.4968  4 Li 2.80-2.99, 2 Hg 3.07
Hg: 0.6430 0.3960 0.8992  4 Li 2.80-2.99, 2 Hg 3.07
Hg: 0.5032 0.6040 0.2470  4 Li 2.80-2.99, 2 Hg 3.07
Hg: 0.1344 0.7331 0.0604  1 Ga 2.81, 5 Li 2.87-2.95, 1 Hg 3.07
Hg: 0.3272 0.2669 0.4012  1 Ga 2.81, 5 Li 2.87-2.95, 1 Hg 3.07
Hg: 0.5988 0.9260 0.8656  1 Ga 2.81, 5 Li 2.87-2.95, 1 Hg 3.07
Li: 0.5000 0.0000 0.5000  8 Hg 2.80-2.88
Li: 0.7876 0.6617 0.6925  8 Hg 2.87-3.15
Li: 0.3075 0.0951 0.9693  8 Hg 2.87-3.15
Li: 0.0307 0.3383 0.1259  8 Hg 2.87-3.15
Li: 0.8741 0.9049 0.2124  8 Hg 2.87-3.15
Ga: 0.2500 0.5000 0.7500  4 Hg 2.81

Output
**DFT formation energy**: -211 meV/atom
**SG**: I-4

---

Record 2
AcCS: optimized geometry, PBE.

a b c (Å): 3.9725 4.0433 8.8306
angles (deg): 90.00 103.00 90.00
Closest atoms and distances in Å follow each position.
Sites, in units of the cell vectors:
S: 0.0801 0.2500 0.1603  4 Ac 3.02
S: 0.9199 0.7500 0.8397  4 Ac 3.02
C: 0.7487 0.2500 0.4974  4 Ac 2.74, 4 C 2.83
C: 0.2513 0.7500 0.5026  4 Ac 2.74, 4 C 2.83
Ac: 0.6413 0.7500 0.2826  4 C 2.74, 4 S 3.02
Ac: 0.3587 0.2500 0.7174  4 C 2.74, 4 S 3.02

Output
**Raw formation energy**: 0.201 eV per atom
**SG**: Cmcm

---

Record 3
BaTaSe2S: optimized geometry, PBE.

a b c (Å): 5.0817 5.6345 5.0817
angles (deg): 90.00 90.00 90.00
Closest atoms and distances in Å follow each position.
Sites, in units of the cell vectors:
Se: 0.5000 0.0000 0.0000  2 S 2.54
Se: 0.0000 0.0000 0.5000  2 S 2.54
Ba: 0.0000 0.5000 0.0000  2 S 2.82
Ta: 0.5000 0.5000 0.5000  4 Ba 3.59, 8 Se 3.79
S: 0.0000 0.0000 0.0000  4 Se 2.54, 2 Ba 2.82

Output
**Raw formation energy**: 0.732 eV per atom
**SG**: P4/mmm

---

Record 4
AuCl2F: optimized geometry, PBE.

a b c (Å): 4.5305 4.5305 4.5305
angles (deg): 60.00 60.00 60.00
Closest atoms and distances in Å follow each position.
Sites, in units of the cell vectors:
F: 0.0000 0.0000 0.0000  8 Cl 2.77
Cl: 0.7500 0.7500 0.7500  4 Au 2.77, 4 F 2.77
Cl: 0.2500 0.2500 0.2500  4 Au 2.77, 4 F 2.77
Au: 0.5000 0.5000 0.5000  8 Cl 2.77

Output
**Raw formation energy**: 0.187 eV per atom
**SG**: Fm-3m

---

Record 5
Pu2Hf2S7: optimized geometry, PBE.

a b c (Å): 3.7608 8.2613 8.2613
angles (deg): 60.64 76.84 76.84
Closest atoms and distances in Å follow each position.
Sites, in units of the cell vectors:
S: 0.5000 0.0056 0.9944  3 Hf 2.66-2.76
S: 0.1770 0.7036 0.9424  1 Hf 2.58, 3 Pu 2.68-2.72
S: 0.8725 0.4178 0.8372  2 Hf 2.60, 2 Pu 2.89
S: 0.3977 0.7065 0.4981  3 Hf 2.64-2.77, 1 S 2.82
S: 0.6023 0.5019 0.2935  3 Hf 2.64-2.77, 1 S 2.82
S: 0.8230 0.0576 0.2964  1 Hf 2.58, 3 Pu 2.68-2.72
S: 0.1275 0.1628 0.5822  2 Hf 2.60, 2 Pu 2.89
Hf: 0.5000 0.3367 0.6633  7 S 2.60-2.76
Hf: 0.0000 0.7797 0.2203  8 S 2.58-2.77
Pu: 0.7320 0.8588 0.6771  7 S 2.68-2.96
Pu: 0.2680 0.3229 0.1412  7 S 2.68-2.96

Output
**Raw formation energy**: -1.512 eV per atom
**SG**: Imm2

---

Record 6
CaPr6Nd2Er: optimized geometry, PBE.

a b c (Å): 9.8722 9.1515 9.1515
angles (deg): 118.04 93.30 93.30
Closest atoms and distances in Å follow each position.
Sites, in units of the cell vectors:
Nd: 0.4551 0.8021 0.6928  6 Pr 3.34-3.70, 2 Ca 3.52-3.58, 1 Er 3.70
Nd: 0.0449 0.3072 0.1979  6 Pr 3.34-3.70, 2 Ca 3.52-3.58, 1 Er 3.70
Nd: 0.9551 0.6928 0.8021  6 Pr 3.34-3.70, 2 Ca 3.52-3.58, 1 Er 3.70
Nd: 0.5449 0.1979 0.3072  6 Pr 3.34-3.70, 2 Ca 3.52-3.58, 1 Er 3.70
Pr: 0.6172 0.5000 0.7102  3 Nd 3.34-3.54, 4 Pr 3.36-3.65, 2 Er 3.53-3.66
Pr: 0.5552 0.7521 0.1308  7 Pr 3.55-3.88, 1 Nd 3.62, 1 Ca 3.88, 1 Er 3.96
Pr: 0.8828 0.2898 0.5000  3 Nd 3.34-3.54, 4 Pr 3.36-3.65, 2 Er 3.53-3.66
Pr: 0.3142 0.9850 0.4383  5 Pr 3.36-3.77, 2 Nd 3.53-3.70, 1 Er 3.57, 1 Ca 3.76
Pr: 0.8142 0.4383 0.9850  5 Pr 3.36-3.77, 2 Nd 3.53-3.70, 1 Er 3.57, 1 Ca 3.76
Pr: 0.3828 0.5000 0.2898  3 Nd 3.34-3.54, 4 Pr 3.36-3.65, 2 Er 3.53-3.66
Pr: 0.4448 0.2479 0.8692  7 Pr 3.55-3.88, 1 Nd 3.62, 1 Ca 3.88, 1 Er 3.96
Pr: 0.0552 0.1308 0.7521  7 Pr 3.55-3.88, 1 Nd 3.62, 1 Ca 3.88, 1 Er 3.96
Pr: 0.1858 0.5617 0.0150  5 Pr 3.36-3.77, 2 Nd 3.53-3.70, 1 Er 3.57, 1 Ca 3.76
Pr: 0.6858 0.0150 0.5617  5 Pr 3.36-3.77, 2 Nd 3.53-3.70, 1 Er 3.57, 1 Ca 3.76
Pr: 0.1172 0.7102 0.5000  3 Nd 3.34-3.54, 4 Pr 3.36-3.65, 2 Er 3.53-3.66
Pr: 0.9448 0.8692 0.2479  7 Pr 3.55-3.88, 1 Nd 3.62, 1 Ca 3.88, 1 Er 3.96
Er: 0.2500 0.4092 0.5908  6 Pr 3.53-3.66, 2 Nd 3.70
Er: 0.7500 0.5908 0.4092  6 Pr 3.53-3.66, 2 Nd 3.70
Ca: 0.2500 0.9753 0.0247  4 Nd 3.52-3.58, 4 Pr 3.76-3.88
Ca: 0.7500 0.0247 0.9753  4 Nd 3.52-3.58, 4 Pr 3.76-3.88

Output
**DFT formation energy**: 112 meV/atom
**SG**: C2/c

---

Record 7
Tb3SmTh2Bi6: optimized geometry, PBE.

a b c (Å): 4.5472 9.0654 10.1433
angles (deg): 102.76 102.95 90.00
Closest atoms and distances in Å follow each position.
Sites, in units of the cell vectors:
Bi: 0.9980 0.2523 0.9961  3 Tb 3.16-3.19, 1 Th 3.22, 2 Sm 3.23
Bi: 0.3323 0.9217 0.6647  3 Tb 3.17-3.20, 1 Sm 3.23, 2 Th 3.24
Bi: 0.6654 0.5875 0.3308  3 Tb 3.18-3.19, 3 Th 3.25-3.26
Bi: 0.3346 0.4125 0.6692  3 Tb 3.18-3.19, 3 Th 3.25-3.26
Bi: 0.0020 0.7477 0.0039  3 Tb 3.16-3.19, 1 Th 3.22, 2 Sm 3.23
Bi: 0.6677 0.0783 0.3353  3 Tb 3.17-3.20, 1 Sm 3.23, 2 Th 3.24
Th: 0.8348 0.6690 0.6696  6 Bi 3.22-3.26
Th: 0.1652 0.3310 0.3304  6 Bi 3.22-3.26
Sm: 0.5000 0.0000 0.0000  6 Bi 3.23
Tb: 0.1662 0.8338 0.3324  6 Bi 3.16-3.20
Tb: 0.8338 0.1662 0.6676  6 Bi 3.16-3.20
Tb: 0.5000 0.5000 0.0000  6 Bi 3.19

Output
**DFT formation energy**: -789 meV/atom
**SG**: C2/m

---

Record 8
YPW2: optimized geometry, PBE.

a b c (Å): 3.1368 3.1368 7.4059
angles (deg): 90.00 90.00 90.00
Closest atoms and distances in Å follow each position.
Sites, in units of the cell vectors:
W: 0.0000 0.0000 0.6767  4 P 2.58, 1 W 2.62
W: 0.0000 0.0000 0.3233  4 P 2.58, 1 W 2.62
P: 0.5000 0.5000 0.5000  8 W 2.58
Y: 0.5000 0.5000 0.0000  4 Y 3.14, 8 W 3.26

Output
**DFT formation energy**: 266 meV/atom
**SG**: P4/mmm

---

Record 9
Sc2ZnSe2: optimized geometry, PBE.

a b c (Å): 7.5041 7.5041 3.5786
angles (deg): 90.00 90.00 90.00
Closest atoms and distances in Å follow each position.
Sites, in units of the cell vectors:
Sc: 0.3499 0.8499 0.0000  6 Se 2.77-2.88, 2 Zn 2.86
Sc: 0.6501 0.1501 0.0000  6 Se 2.77-2.88, 2 Zn 2.86
Sc: 0.8499 0.6501 0.0000  6 Se 2.77-2.88, 2 Zn 2.86
Sc: 0.1501 0.3499 0.0000  6 Se 2.77-2.88, 2 Zn 2.86
Zn: 0.0000 0.0000 0.0000  4 Sc 2.86
Zn: 0.5000 0.5000 0.0000  4 Sc 2.86
Se: 0.8499 0.3499 0.5000  6 Sc 2.77-2.88
Se: 0.6501 0.8499 0.5000  6 Sc 2.77-2.88
Se: 0.1501 0.6501 0.5000  6 Sc 2.77-2.88
Se: 0.3499 0.1501 0.5000  6 Sc 2.77-2.88

Output
**Raw formation energy**: -0.999 eV per atom
**SG**: P4/mbm

---

Record 10
NbV2Re: optimized geometry, PBE.

a b c (Å): 3.0801 3.0801 6.2717
angles (deg): 90.00 90.00 90.00
Closest atoms and distances in Å follow each position.
Sites, in units of the cell vectors:
Nb: 0.5000 0.5000 0.5000  8 V 2.73
V: 0.0000 0.0000 0.7613  4 Re 2.64, 4 Nb 2.73
V: 0.0000 0.0000 0.2387  4 Re 2.64, 4 Nb 2.73
Re: 0.5000 0.5000 0.0000  8 V 2.64

Output
**DFT formation energy**: -197 meV/atom
**SG**: P4/mmm

---

Record 11
Li3PuSb2: optimized geometry, PBE.

a b c (Å): 4.6412 7.2647 8.1882
angles (deg): 90.00 90.00 90.00
Closest atoms and distances in Å follow each position.
Sites, in units of the cell vectors:
Li: 0.5000 0.6541 0.1547  4 Sb 2.72-2.92
Li: 0.0000 0.3457 0.3026  4 Sb 2.65-2.89
Li: 0.5000 0.1541 0.8453  4 Sb 2.72-2.92
Li: 0.0000 0.4955 0.9198  3 Sb 2.95-3.10, 3 Li 3.13-3.23
Li: 0.0000 0.9955 0.0802  3 Sb 2.95-3.10, 3 Li 3.13-3.23
Li: 0.0000 0.8457 0.6974  4 Sb 2.65-2.89
Pu: 0.5000 0.5052 0.5350  5 Sb 3.10-3.21, 3 Li 3.22-3.30
Pu: 0.5000 0.0052 0.4650  5 Sb 3.10-3.21, 3 Li 3.22-3.30
Sb: 0.0000 0.2371 0.6425  5 Li 2.88-2.95, 4 Pu 3.16-3.21
Sb: 0.5000 0.2624 0.1635  4 Li 2.65-2.85
Sb: 0.5000 0.7624 0.8365  4 Li 2.65-2.85
Sb: 0.0000 0.7371 0.3575  5 Li 2.88-2.95, 4 Pu 3.16-3.21

Output
**Raw formation energy**: -0.587 eV per atom
**SG**: Pmc2_1

---

Record 12
Dy15Ho4In: optimized geometry, PBE.

a b c (Å): 4.9541 4.9541 25.0626
angles (deg): 90.00 90.00 90.00
Closest atoms and distances in Å follow each position.
Sites, in units of the cell vectors:
In: 0.0000 0.0000 0.0000  12 Dy 3.47-3.50
Dy: 0.5000 0.0000 0.0969  2 In 3.47, 8 Dy 3.47-3.51, 2 Ho 3.54
Dy: 0.5000 0.0000 0.9031  2 In 3.47, 8 Dy 3.47-3.51, 2 Ho 3.54
Dy: 0.5000 0.0000 0.2985  8 Dy 3.50-3.57, 4 Ho 3.53-3.54
Dy: 0.0000 0.5000 0.7015  8 Dy 3.50-3.57, 4 Ho 3.53-3.54
Dy: 0.5000 0.5000 0.8040  4 Ho 3.50, 8 Dy 3.51-3.57
Dy: 0.0000 0.5000 0.2985  8 Dy 3.50-3.57, 4 Ho 3.53-3.54
Dy: 0.5000 0.5000 0.3987  4 Ho 3.50, 8 Dy 3.53-3.55
Dy: 0.0000 0.5000 0.9031  2 In 3.47, 8 Dy 3.47-3.51, 2 Ho 3.54
Dy: 0.5000 0.5000 0.0000  8 Dy 3.47, 4 In 3.50
Dy: 0.5000 0.5000 0.1960  4 Ho 3.50, 8 Dy 3.51-3.57
Dy: 0.5000 0.0000 0.5000  8 Dy 3.50-3.55, 4 Ho 3.54
Dy: 0.0000 0.5000 0.0969  8 Dy 3.47-3.51, 2 In 3.47, 2 Ho 3.54
Dy: 0.0000 0.5000 0.5000  8 Dy 3.50-3.55, 4 Ho 3.54
Dy: 0.5000 0.0000 0.7015  8 Dy 3.50-3.57, 4 Ho 3.53-3.54
Dy: 0.5000 0.5000 0.6013  4 Ho 3.50, 8 Dy 3.53-3.55
Ho: 0.0000 0.0000 0.1981  12 Dy 3.50-3.54
Ho: 0.0000 0.0000 0.3993  12 Dy 3.50-3.54
Ho: 0.0000 0.0000 0.8019  12 Dy 3.50-3.54
Ho: 0.0000 0.0000 0.6007  12 Dy 3.50-3.54

Output
**DFT formation energy**: -35 meV/atom
**SG**: P4/mmm

---

Record 13
Na3GaS2: optimized geometry, PBE.

a b c (Å): 6.8199 6.5427 8.2280
angles (deg): 113.43 114.48 90.00
Closest atoms and distances in Å follow each position.
Sites, in units of the cell vectors:
S: 0.1461 0.8641 0.7283  1 Ga 2.65, 6 Na 2.80-2.87
S: 0.5822 0.3641 0.7283  1 Ga 2.65, 6 Na 2.80-2.87
S: 0.8539 0.1359 0.2717  1 Ga 2.65, 6 Na 2.80-2.87
S: 0.4178 0.6359 0.2717  1 Ga 2.65, 6 Na 2.80-2.87
Na: 0.2364 0.9864 0.4728  4 S 2.80-2.86
Na: 0.2364 0.4864 0.4728  4 S 2.80-2.86
Na: 0.5000 0.2500 0.0000  4 S 2.87
Na: 0.5000 0.7500 0.0000  4 S 2.87
Na: 0.7636 0.5136 0.5272  4 S 2.80-2.86
Na: 0.7636 0.0136 0.5272  4 S 2.80-2.86
Ga: 0.0000 0.0000 0.0000  2 S 2.65
Ga: 0.0000 0.5000 0.0000  2 S 2.65

Output
**Raw formation energy**: -0.734 eV per atom
**SG**: Ibam

---

Record 14
CaSbAu4: optimized geometry, PBE.

a b c (Å): 5.6662 5.6662 5.6662
angles (deg): 60.00 60.00 60.00
Closest atoms and distances in Å follow each position.
Sites, in units of the cell vectors:
Au: 0.1258 0.6247 0.6247  6 Au 2.83-2.84
Au: 0.6247 0.6247 0.6247  6 Au 2.83-2.84
Au: 0.6247 0.6247 0.1258  6 Au 2.83-2.84
Au: 0.6247 0.1258 0.6247  6 Au 2.83-2.84
Sb: 0.0000 0.0000 0.0000  12 Au 3.32, 4 Ca 3.47
Ca: 0.2500 0.2500 0.2500  12 Au 3.32, 4 Sb 3.47

Output
**Raw formation energy**: -0.392 eV per atom
**SG**: F-43m

---

Record 15
Pm3TiIn12: optimized geometry, PBE.

a b c (Å): 4.6366 4.6366 18.4750
angles (deg): 90.00 90.00 90.00
Closest atoms and distances in Å follow each position.
Sites, in units of the cell vectors:
In: 0.5000 0.0000 0.1135  8 In 3.13-3.36, 2 Ti 3.13, 2 Pm 3.30
In: 0.0000 0.5000 0.8865  8 In 3.13-3.36, 2 Ti 3.13, 2 Pm 3.30
In: 0.5000 0.5000 0.7549  4 Pm 3.28, 8 In 3.29-3.36
In: 0.5000 0.0000 0.3713  8 In 3.28-3.32, 4 Pm 3.32-3.34
In: 0.5000 0.5000 0.5000  4 Pm 3.28, 8 In 3.32
In: 0.5000 0.0000 0.6287  8 In 3.28-3.32, 4 Pm 3.32-3.34
In: 0.5000 0.0000 0.8865  8 In 3.13-3.36, 2 Ti 3.13, 2 Pm 3.30
In: 0.5000 0.5000 0.0000  8 In 3.13, 4 Ti 3.28
In: 0.5000 0.5000 0.2451  4 Pm 3.28, 8 In 3.29-3.36
In: 0.0000 0.5000 0.3713  8 In 3.28-3.32, 4 Pm 3.32-3.34
In: 0.0000 0.5000 0.1135  8 In 3.13-3.36, 2 Ti 3.13, 2 Pm 3.30
In: 0.0000 0.5000 0.6287  8 In 3.28-3.32, 4 Pm 3.32-3.34
Pm: 0.0000 0.0000 0.2408  12 In 3.28-3.34
Pm: 0.0000 0.0000 0.5000  12 In 3.28-3.32
Pm: 0.0000 0.0000 0.7592  12 In 3.28-3.34
Ti: 0.0000 0.0000 0.0000  12 In 3.13-3.28

Output
**DFT formation energy**: -345 meV/atom
**SG**: P4/mmm

---

Record 16
TlGaAgSe: optimized geometry, PBE.

a b c (Å): 5.1777 3.7597 5.5505
angles (deg): 90.00 104.21 90.00
Closest atoms and distances in Å follow each position.
Sites, in units of the cell vectors:
Ga: 0.1445 0.5000 0.6065  2 Se 2.57, 1 Ag 2.62
Se: 0.2083 0.0000 0.3115  2 Ga 2.57, 2 Ag 2.79
Ag: 0.4429 0.5000 0.0617  1 Ga 2.62, 2 Se 2.79
Tl: 0.7442 0.0000 0.7990  2 Ag 3.03, 2 Ga 3.17, 2 Se 3.24-3.37

Output
**Raw formation energy**: -0.080 eV per atom
**SG**: Pm

---

Record 17
MgAl2W: optimized geometry, PBE.

a b c (Å): 4.7550 2.7703 4.9558
angles (deg): 89.94 90.00 90.00
Closest atoms and distances in Å follow each position.
Sites, in units of the cell vectors:
Mg: 0.0000 0.6238 0.4626  2 Mg 2.77, 8 Al 2.82-2.89, 2 W 2.88
Al: 0.0000 0.1249 0.9594  4 Al 2.77-2.88, 4 Mg 2.82-2.85, 4 W 2.88
Al: 0.5000 0.1253 0.2880  4 Al 2.77-2.88, 4 W 2.83-2.85, 4 Mg 2.88-2.89
W: 0.5000 0.6259 0.7900  2 W 2.77, 8 Al 2.83-2.88, 2 Mg 2.88

Output
**DFT formation energy**: 51 meV/atom
**SG**: Pm

---

Record 18
K2Ag2S3: optimized geometry, PBE.

a b c (Å): 8.7084 8.7084 8.7084
angles (deg): 109.47 109.47 109.47
Closest atoms and distances in Å follow each position.
Sites, in units of the cell vectors:
K: 0.5207 0.0207 0.0207  3 S 3.13, 1 Ag 3.31
K: 0.0000 0.0000 0.4793  3 S 3.13, 1 Ag 3.31
K: 0.5000 0.4793 0.5000  3 S 3.13, 1 Ag 3.31
K: 0.9793 0.5000 0.0000  3 S 3.13, 1 Ag 3.31
Ag: 0.5000 0.0995 0.5000  3 S 2.39
Ag: 0.0000 0.0000 0.0995  3 S 2.39
Ag: 0.5995 0.5000 0.0000  3 S 2.39
Ag: 0.9005 0.4005 0.4005  3 S 2.39
S: 0.4311 0.1811 0.7500  2 Ag 2.39
S: 0.2500 0.9311 0.1811  2 Ag 2.39
S: 0.0689 0.3189 0.2500  2 Ag 2.39
S: 0.8189 0.2500 0.5689  2 Ag 2.39
S: 0.6811 0.7500 0.9311  2 Ag 2.39
S: 0.7500 0.5689 0.3189  2 Ag 2.39

Output
**Raw formation energy**: -0.373 eV per atom
**SG**: I2_13

---

Record 19
Sc2ZnHPb: optimized geometry, PBE.

a b c (Å): 4.4665 4.4665 4.3319
angles (deg): 90.00 90.00 90.00
Closest atoms and distances in Å follow each position.
Sites, in units of the cell vectors:
Sc: 0.5000 0.0000 0.0000  2 H 2.23
Sc: 0.0000 0.5000 0.0000  2 H 2.23
Pb: 0.5000 0.5000 0.5000  8 Sc 3.11, 4 Zn 3.16
H: 0.0000 0.0000 0.0000  2 Zn 2.17, 4 Sc 2.23
Zn: 0.0000 0.0000 0.5000  2 H 2.17

Output
**SG**: P4/mmm
**E_tot**: -22.44 eV/f.u.

---

Record 20
V2CoRh: optimized geometry, PBE.

a b c (Å): 6.5278 6.5278 5.2830
angles (deg): 51.84 51.84 90.00
Closest atoms and distances in Å follow each position.
Sites, in units of the cell vectors:
V: 0.1406 0.6250 0.2500  2 Co 2.33, 2 Rh 2.47, 2 V 2.58
V: 0.6094 0.1250 0.2500  2 Co 2.33, 2 Rh 2.47, 2 V 2.58
V: 0.3750 0.3906 0.7500  2 Co 2.33, 2 Rh 2.47, 2 V 2.58
V: 0.8750 0.8594 0.7500  2 Co 2.33, 2 Rh 2.47, 2 V 2.58
Rh: 0.0000 0.0000 0.0000  4 V 2.47, 2 Co 2.57
Rh: 0.7500 0.2500 0.5000  4 V 2.47, 2 Co 2.57
Co: 0.5000 0.5000 0.0000  4 V 2.33, 2 Rh 2.57
Co: 0.2500 0.7500 0.5000  4 V 2.33, 2 Rh 2.57

Output
**DFT formation energy**: 223 meV/atom
**SG**: I-42d